1.
Entry from Alexandria: a relaxed structure of MgTlNi2Sn (PBE-GGA).

For the total magnetization, the calculation gives 0.0 μB per formula unit. Its crystal system is tetragonal. The density of states at the Fermi level comes out at 0.73 states/eV/atom. Its formation energy is 0.822 eV/atom.

The structure belongs to space group P4/mmm (No. 123); the cell edges are 4.839, 4.839 and 5.111 Å and the angles 90.00°, 90.00° and 90.00°. The distinct sites, in fractional coordinates, are Mg at (0.000, 0.000, 0.000), Tl at (0.000, 0.000, 0.500), Ni at (0.000, 0.500, 0.500) and Sn at (0.500, 0.500, 0.000).

2.
Entry from Alexandria: a relaxed structure of TmScTc4 (PBE-GGA).

For the total magnetization, the calculation gives 0.0 μB per formula unit. Its crystal system is cubic. The density of states at the Fermi level comes out at 1.29 states/eV/atom. Its formation energy is -0.228 eV/atom.

The structure belongs to space group F-43m (No. 216); the cell edges are 7.514, 7.514 and 7.514 Å and the angles 90.00°, 90.00° and 90.00°. The distinct sites, in fractional coordinates, are Tm at (0.000, 0.000, 0.000), Sc at (0.250, 0.250, 0.250) and Tc at (0.125, 0.125, 0.625).

3.
Entry from Alexandria: a relaxed structure of La2Ni (PBE-GGA).

For the total magnetization, the calculation gives 0.0 μB per formula unit. Its crystal system is orthorhombic. The density of states at the Fermi level comes out at 1.16 states/eV/atom. Its formation energy is -0.152 eV/atom.

The structure belongs to space group Pnnm (No. 58); the cell edges are 6.706, 6.825 and 4.076 Å and the angles 90.00°, 90.00° and 90.00°. The distinct sites, in fractional coordinates, are La at (0.141, 0.243, 0.000) and Ni at (0.000, 0.000, 0.500).

4.
Entry from Alexandria: a relaxed structure of KIrW2 (PBE-GGA).

For the total magnetization, the calculation gives 0.0 μB per formula unit. Its crystal system is orthorhombic. The density of states at the Fermi level comes out at 0.84 states/eV/atom. The energy relative to the lowest polymorph listed for this composition comes out at 0 meV/atom. Its formation energy is 0.654 eV/atom.

The structure belongs to space group Cmm2 (No. 35); the cell edges are 3.715, 4.269 and 9.811 Å and the angles 90.00°, 90.00° and 90.00°. The distinct sites, in fractional coordinates, are K at (0.000, 0.000, 0.000), Ir at (0.000, 0.500, 0.278), W at (0.000, 0.000, 0.459) and W at (0.000, 0.500, 0.673).